# Er2GaNiI2 | OQMD | PBE | relaxed
# Total moment: 0.00 μB/atom
# E_tot: -4.45 eV/atom
data_Er2GaNiI2
_cell_length_a 4.1353
_cell_length_b 4.1353
_cell_length_c 11.6724
_cell_angle_alpha 90.00
_cell_angle_beta 90.00
_cell_angle_gamma 120.00
_symmetry_space_group_name_H-M 'P 3 m 1'
_symmetry_Int_Tables_number 156
_symmetry_space_group_name_Hall 'P 3 -2"'
loop_
_atom_site_label
_atom_site_fract_x
_atom_site_fract_y
_atom_site_fract_z
Er1 0.0000 0.0000 0.0000
Er2 0.0000 0.0000 0.3097
Ga1 0.3333 0.6667 0.1571
Ni1 0.6667 0.3333 0.1517
I1 0.3333 0.6667 0.8211
I2 0.6667 0.3333 0.4871

=====

# PrErGa2I2 | OQMD | PBE | relaxed
# Total moment: 0.00 μB/atom
# E_tot: -4.12 eV/atom
data_PrErGa2I2
_cell_length_a 4.2465
_cell_length_b 4.2465
_cell_length_c 12.3763
_cell_angle_alpha 90.00
_cell_angle_beta 90.00
_cell_angle_gamma 120.00
_symmetry_space_group_name_H-M 'P 3 m 1'
_symmetry_Int_Tables_number 156
_symmetry_space_group_name_Hall 'P 3 -2"'
loop_
_atom_site_label
_atom_site_fract_x
_atom_site_fract_y
_atom_site_fract_z
Pr1 0.0000 0.0000 0.0000
Er1 0.0000 0.0000 0.3324
Ga1 0.3333 0.6667 0.1997
Ga2 0.6667 0.3333 0.1461
I1 0.3333 0.6667 0.8286
I2 0.6667 0.3333 0.4896

=====

# Er6InGa2 | OQMD | PBE | relaxed
# Total moment: 0.00 μB/atom
# E_tot: -4.45 eV/atom
data_Er6InGa2
_cell_length_a 9.548
_cell_length_b 9.565
_cell_length_c 10.506
_cell_angle_alpha 90.00
_cell_angle_beta 90.00
_cell_angle_gamma 90.00
_symmetry_space_group_name_H-M 'I m m m'
_symmetry_Int_Tables_number 71
_symmetry_space_group_name_Hall '-I 2 2'
loop_
_atom_site_label
_atom_site_fract_x
_atom_site_fract_y
_atom_site_fract_z
Er1 0.000 0.203 0.179
Er2 0.184 0.222 0.500
Er3 0.202 0.500 0.259
In1 0.000 0.500 0.000
In2 0.000 0.500 0.500
Ga1 0.000 0.000 0.379
Ga2 0.149 0.000 0.000

=====

# Er2InGa2 | OQMD | PBE | relaxed
# Total moment: 0.00 μB/atom
# E_tot: -4.19 eV/atom
data_Er2InGa2
_cell_length_a 7.203
_cell_length_b 7.203
_cell_length_c 4.356
_cell_angle_alpha 90.00
_cell_angle_beta 90.00
_cell_angle_gamma 90.00
_symmetry_space_group_name_H-M 'P 4/m b m'
_symmetry_Int_Tables_number 127
_symmetry_space_group_name_Hall '-P 4 2ab'
loop_
_atom_site_label
_atom_site_fract_x
_atom_site_fract_y
_atom_site_fract_z
Er1 0.172 0.328 0.000
In1 0.000 0.000 0.500
Ga1 0.125 0.625 0.500

=====

# ErInGa | OQMD | PBE | relaxed
# Total moment: 0.00 μB/atom
# E above lowest polymorph: 0.0 kJ/mol of formula units
data_ErInGa
_cell_length_a 6.663
_cell_length_b 6.663
_cell_length_c 6.663
_cell_angle_alpha 90.00
_cell_angle_beta 90.00
_cell_angle_gamma 90.00
_symmetry_space_group_name_H-M 'F -4 3 m'
_symmetry_Int_Tables_number 216
_symmetry_space_group_name_Hall 'F -4 2 3'
loop_
_atom_site_label
_atom_site_fract_x
_atom_site_fract_y
_atom_site_fract_z
Er1 0.000 0.000 0.000
In1 0.000 0.000 0.500
Ga1 0.250 0.250 0.250

=====

# ErInGa | OQMD | PBE | relaxed
# Total moment: 0.00 μB/atom
# E above lowest polymorph: 84.6 kJ/mol of formula units
data_ErInGa
_cell_length_a 6.931
_cell_length_b 6.931
_cell_length_c 6.931
_cell_angle_alpha 90.00
_cell_angle_beta 90.00
_cell_angle_gamma 90.00
_symmetry_space_group_name_H-M 'F -4 3 m'
_symmetry_Int_Tables_number 216
_symmetry_space_group_name_Hall 'F -4 2 3'
loop_
_atom_site_label
_atom_site_fract_x
_atom_site_fract_y
_atom_site_fract_z
Er1 0.000 0.000 0.000
In1 0.250 0.250 0.250
Ga1 0.250 0.250 0.750

=====

# ErInGa4Ir | OQMD | PBE | relaxed
# Total moment: 0.00 μB/atom
# E_tot: -4.55 eV/atom
data_ErInGa4Ir
_cell_length_a 4.431
_cell_length_b 4.431
_cell_length_c 6.854
_cell_angle_alpha 90.00
_cell_angle_beta 90.00
_cell_angle_gamma 90.00
_symmetry_space_group_name_H-M 'P 4/m m m'
_symmetry_Int_Tables_number 123
_symmetry_space_group_name_Hall '-P 4 2'
loop_
_atom_site_label
_atom_site_fract_x
_atom_site_fract_y
_atom_site_fract_z
Er1 0.000 0.000 0.000
In1 0.500 0.500 0.000
Ga1 0.000 0.500 0.306
Ir1 0.000 0.000 0.500

=====

# Er3Mg3InGa2 | OQMD | PBE | relaxed
# Total moment: 0.00 μB/atom
# E_tot: -3.46 eV/atom
data_Er3Mg3InGa2
_cell_length_a 7.2690
_cell_length_b 7.2690
_cell_length_c 4.5284
_cell_angle_alpha 90.00
_cell_angle_beta 90.00
_cell_angle_gamma 120.00
_symmetry_space_group_name_H-M 'P -6 2 m'
_symmetry_Int_Tables_number 189
_symmetry_space_group_name_Hall 'P -6 -2'
loop_
_atom_site_label
_atom_site_fract_x
_atom_site_fract_y
_atom_site_fract_z
Er1 0.0000 0.4396 0.0000
Mg1 0.0000 0.7508 0.5000
In1 0.0000 0.0000 0.0000
Ga1 0.3333 0.6667 0.5000